Entry 1:
MoAs3 | PBE-GGA | optimized geometry

Cell: 4.687 4.687 3.214 Å, 90.00 90.00 105.07°
Positions (direct):
As 0.500 0.000 0.500
Mo 0.000 0.000 0.000
As 0.500 0.500 0.000
As 0.000 0.500 0.500

Total magnetic moment: 0.00 μB/f.u.
ΔE to the lowest computed polymorph: 445 meV/atom
E_form: 0.426 eV/atom


Entry 2:
Mo5As | PBE-GGA | optimized geometry

Cell: 5.209 5.209 5.209 Å, 60.00 60.00 60.00°
Positions (direct):
As 0.000 0.000 0.000
Mo 0.374 0.877 0.374
Mo 0.374 0.374 0.374
Mo 0.877 0.374 0.374
Mo 0.374 0.374 0.877
Mo 0.750 0.750 0.750

Total magnetic moment: 0.00 μB/f.u.
ΔE to the lowest computed polymorph: 478 meV/atom
E_form: 0.486 eV/atom


Entry 3:
Mo3As4 | PBE-GGA | optimized geometry

Cell: 5.344 5.344 4.928 Å, 90.00 90.00 120.00°
Positions (direct):
Mo 0.500 0.000 0.000
As 0.000 0.000 0.749
As 0.000 0.000 0.251
As 0.333 0.667 0.500
Mo 0.000 0.500 0.000
Mo 0.500 0.500 0.000
As 0.667 0.333 0.500

Total magnetic moment: 0.00 μB/f.u.
ΔE to the lowest computed polymorph: 499 meV/atom
E_form: 0.413 eV/atom


Entry 4:
Mo3As | PBE-GGA | optimized geometry

Cell: 9.414 9.414 9.414 Å, 157.21 157.21 32.45°
Positions (direct):
Mo 0.250 0.750 0.500
Mo 0.500 0.000 0.500
Mo 0.873 0.873 0.000
As 0.377 0.377 0.000
Mo 0.127 0.127 0.000
Mo 0.750 0.250 0.500
As 0.623 0.623 0.000
Mo 0.000 0.500 0.500

Total magnetic moment: 0.00 μB/f.u.
ΔE to the lowest computed polymorph: 194 meV/atom
E_form: 0.186 eV/atom